## Fe2CoCu (GGA-PBE)

Data for an optimized crystal structure of Fe2CoCu.

Results
VASP energy   -6.937 eV/atom
N(E_F)   0.629 states/eV/atom
Magnetization   6.67 μB per cell

Cell lengths 4.020, 2.447, 4.806 Å; angles 79.24, 90.00, 90.00 degrees
Each line ends with the local moment (μB).
Positions (direct):
Co 0.000 0.493 0.491  1.68
Cu 0.500 0.737 0.752  0.07
Fe 0.000 0.013 0.000  2.54
Fe 0.500 0.257 0.257  2.50